Entry 1:
This record from the Alexandria database describes a relaxed structure of Ti3N2O3. The functional is PBE.

## Properties
The uncorrected formation energy comes out at -2323 meV per atom.

Lattice parameters (Å, degrees): 5.2767 5.2767 9.9191 90.00 90.00 137.34
With the nearest neighbours (Å) after each atom.
Fractional coordinates of all 16 atoms:
O: 0.2493 0.7507 0.2500  4 Ti 1.99-2.22
N: 0.3069 0.6931 0.9228  4 Ti 2.00-2.05
Ti: 0.8563 0.1437 0.5519  2 O 1.95-1.97, 3 N 2.00-2.05
N: 0.6931 0.3069 0.0772  4 Ti 2.00-2.05
O: 0.0447 0.9553 0.8819  3 Ti 1.95-2.00
N: 0.6931 0.3069 0.4228  4 Ti 2.00-2.05
O: 0.0447 0.9553 0.6181  3 Ti 1.95-2.00
O: 0.9553 0.0447 0.3819  3 Ti 1.95-2.00
Ti: 0.1437 0.8563 0.0519  2 O 1.95-1.97, 3 N 2.00-2.05
O: 0.7507 0.2493 0.7500  4 Ti 1.99-2.22
Ti: 0.1991 0.8009 0.7500  4 O 1.99-2.00, 2 N 2.02
N: 0.3069 0.6931 0.5772  4 Ti 2.00-2.05
Ti: 0.8009 0.1991 0.2500  4 O 1.99-2.00, 2 N 2.02
Ti: 0.8563 0.1437 0.9481  2 O 1.95-1.97, 3 N 2.00-2.05
O: 0.9553 0.0447 0.1181  3 Ti 1.95-2.00
Ti: 0.1437 0.8563 0.4481  2 O 1.95-1.97, 3 N 2.00-2.05

---

Entry 2:
This record from the Alexandria database describes a relaxed structure of HfIF. The functional is PBE.

## Properties
The uncorrected formation energy comes out at -1529 meV per atom.

Lattice parameters (Å, degrees): 3.6748 6.4761 11.1225 90.00 90.00 90.00
With the nearest neighbours (Å) after each atom.
Fractional coordinates of all 12 atoms:
F: 0.7500 0.3063 0.7978  1 Hf 2.07
F: 0.7500 0.8063 0.7022  1 Hf 2.07
I: 0.2500 0.1800 0.5898  3 Hf 2.90-2.99, 2 F 3.07
Hf: 0.7500 0.0227 0.8840  1 F 2.07
F: 0.2500 0.1937 0.2978  1 Hf 2.07
F: 0.2500 0.6937 0.2022  1 Hf 2.07
Hf: 0.2500 0.9773 0.1160  1 F 2.07
Hf: 0.2500 0.4773 0.3840  1 F 2.07
I: 0.7500 0.3200 0.0898  3 Hf 2.90-2.99, 2 F 3.07
I: 0.2500 0.6800 0.9102  3 Hf 2.90-2.99, 2 F 3.07
Hf: 0.7500 0.5227 0.6160  1 F 2.07
I: 0.7500 0.8200 0.4102  3 Hf 2.90-2.99, 2 F 3.07

---

Entry 3:
This record from the Alexandria database describes a relaxed structure of Ce2MgHg. The functional is PBE.

## Properties
The formation energy comes out at -79 kJ/mol of formula units.

Lattice parameters (Å, degrees): 5.0353 6.4358 6.7832 118.26 90.00 90.00
With the nearest neighbours (Å) after each atom.
Fractional coordinates of all 8 atoms:
Ce: 0.7500 0.7200 0.8733  3 Ce 2.79-2.94
Ce: 0.7500 0.1527 0.8720  3 Ce 2.79-2.94
Mg: 0.2500 0.3249 0.6473  4 Hg 2.94-3.24
Mg: 0.7500 0.6751 0.3527  4 Hg 2.94-3.24
Hg: 0.7500 0.1971 0.3942  4 Mg 2.94-3.24, 2 Ce 3.29
Ce: 0.2500 0.8473 0.1280  3 Ce 2.79-2.94
Ce: 0.2500 0.2800 0.1267  3 Ce 2.79-2.94
Hg: 0.2500 0.8029 0.6058  4 Mg 2.94-3.24, 2 Ce 3.29

---

Entry 4:
This record from the Alexandria database describes a relaxed structure of Pm4CoIrCl2. The functional is PBE.

## Properties
The uncorrected formation energy comes out at -1014 meV per atom.

Lattice parameters (Å, degrees): 4.0159 6.9629 7.8461 106.98 90.00 90.00
With the nearest neighbours (Å) after each atom.
Fractional coordinates of all 8 atoms:
Pm: 0.0000 0.2760 0.8001  2 Co 2.74, 1 Ir 2.81
Co: 0.5000 0.5000 0.0000  6 Pm 2.74
Ir: 0.0000 0.0000 0.0000  6 Pm 2.80-2.81
Cl: 0.0000 0.5000 0.5000  6 Pm 3.18-3.20
Pm: 0.5000 0.7589 0.7956  1 Co 2.74, 2 Ir 2.80
Pm: 0.0000 0.7240 0.1999  2 Co 2.74, 1 Ir 2.81
Pm: 0.5000 0.2411 0.2044  1 Co 2.74, 2 Ir 2.80
Cl: 0.5000 0.0000 0.5000  6 Pm 3.24-3.26